1.
A relaxed structure of Ta2HOF, computed with PBE.

Computed properties:
* raw total energy: -6.772 eV per atom
* volume: 11.37 Å³ per atom

Lattice parameters (Å, degrees): 3.920 3.920 3.699 90.00 90.00 90.00
Space group P4/mmm (No. 123)
Symmetry-distinct sites (fractional):
Ta 0.000 0.500 0.000 (multiplicity 2)
H 0.000 0.000 0.000 (multiplicity 1)
O 0.500 0.500 0.500 (multiplicity 1)
F 0.000 0.000 0.500 (multiplicity 1)


2.
A relaxed structure of TaHO2F, computed with PBE.

Computed properties:
* raw total energy: -6.447 eV per atom
* volume: 7.54 Å³ per atom

Lattice parameters (Å, degrees): 3.719 3.719 2.724 90.00 90.00 90.00
Space group P4/mmm (No. 123)
Symmetry-distinct sites (fractional):
Ta 0.000 0.000 0.000 (multiplicity 1)
H 0.500 0.500 0.500 (multiplicity 1)
O 0.000 0.500 0.500 (multiplicity 2)
F 0.500 0.500 0.000 (multiplicity 1)